No. 1
# PmSb2H, relaxed, DFT GGA-PBE
# Density in Mg/m³: 7.02
# Energy in eV/atom: -4.389
data_PmSb2H
_chemical_formula_sum 'Pm1 Sb2 H1'
_symmetry_space_group_name_H-M 'P 4/m m m'
_symmetry_Int_Tables_number 123
_symmetry_space_group_name_Hall '-P 4 2'
_cell_length_a 4.165
_cell_length_b 4.165
_cell_length_c 5.314
_cell_angle_alpha 90.00
_cell_angle_beta 90.00
_cell_angle_gamma 90.00
loop_
_atom_site_label
_atom_site_type_symbol
_atom_site_fract_x
_atom_site_fract_y
_atom_site_fract_z
_atom_site_occupancy
Pm1 Pm 0.000 0.000 0.000 1
Sb1 Sb 0.000 0.500 0.500 1
H1 H 0.500 0.500 0.000 1


No. 2
# B5C7, relaxed, DFT GGA-PBE
# Density in Mg/m³: 2.85
# Excess energy over the best structure of this formula in the dataset in eV per atom: 0.136
# Energy in eV/atom: -7.769
data_B5C7
_chemical_formula_sum 'B5 C7'
_symmetry_space_group_name_H-M 'P 1'
_symmetry_Int_Tables_number 1
_symmetry_space_group_name_Hall 'P 1'
_cell_length_a 3.732
_cell_length_b 4.567
_cell_length_c 5.364
_cell_angle_alpha 73.55
_cell_angle_beta 89.96
_cell_angle_gamma 67.60
loop_
_atom_site_label
_atom_site_type_symbol
_atom_site_fract_x
_atom_site_fract_y
_atom_site_fract_z
_atom_site_occupancy
B1 B 0.000 0.000 0.000 1
B2 B 0.048 0.020 0.493 1
B3 B 0.143 0.408 0.897 1
B4 B 0.433 0.680 0.033 1
B5 B 0.764 0.690 0.366 1
C1 C 0.142 0.356 0.409 1
C2 C 0.381 0.343 0.174 1
C3 C 0.387 0.352 0.649 1
C4 C 0.455 0.682 0.585 1
C5 C 0.706 0.703 0.809 1
C6 C 0.769 0.045 0.234 1
C7 C 0.773 0.029 0.735 1


No. 3
# LiHSO4, relaxed, DFT GGA-PBE
# Density in Mg/m³: 2.01
# Energy in eV/atom: -5.719
data_LiHSO4
_chemical_formula_sum 'Li4 H4 S4 O16'
_symmetry_space_group_name_H-M 'P 1 21/c 1'
_symmetry_Int_Tables_number 14
_symmetry_space_group_name_Hall '-P 2ybc'
_cell_length_a 5.524
_cell_length_b 7.344
_cell_length_c 8.491
_cell_angle_alpha 90.00
_cell_angle_beta 90.40
_cell_angle_gamma 90.00
loop_
_atom_site_label
_atom_site_type_symbol
_atom_site_fract_x
_atom_site_fract_y
_atom_site_fract_z
_atom_site_occupancy
Li1 Li 0.002 0.197 0.004 1
H1 H 0.393 0.130 0.219 1
S1 S 0.273 0.011 0.716 1
O1 O 0.160 0.002 0.873 1
O2 O 0.188 0.632 0.112 1
O3 O 0.250 0.195 0.647 1
O4 O 0.446 0.007 0.261 1


No. 4
# Y4Te3C, relaxed, DFT GGA-PBE
# Density in Mg/m³: 5.07
# Excess energy over the best structure of this formula in the dataset in eV per atom: 0.163
# E_form (uncorrected) in eV/atom: -0.9305
# Energy in eV/atom: -6.494
data_Y4Te3C
_chemical_formula_sum 'Y8 Te6 C2'
_symmetry_space_group_name_H-M 'P m n 21'
_symmetry_Int_Tables_number 31
_symmetry_space_group_name_Hall 'P 2ac -2'
_cell_length_a 10.327
_cell_length_b 7.972
_cell_length_c 5.969
_cell_angle_alpha 90.00
_cell_angle_beta 90.00
_cell_angle_gamma 90.00
loop_
_atom_site_label
_atom_site_type_symbol
_atom_site_fract_x
_atom_site_fract_y
_atom_site_fract_z
_atom_site_occupancy
Y1 Y 0.000 0.135 0.000 1
Y2 Y 0.000 0.854 0.470 1
Y3 Y 0.205 0.242 0.460 1
Te1 Te 0.000 0.752 0.968 1
Te2 Te 0.240 0.349 0.960 1
C1 C 0.000 0.137 0.396 1


No. 5
# Al2GaH, relaxed, DFT GGA-PBE
# Density in Mg/m³: 3.13
# Excess energy over the best structure of this formula in the dataset in eV per atom: 0.126
# Energy in eV/atom: -3.185
data_Al2GaH
_chemical_formula_sum 'Al8 Ga4 H4'
_symmetry_space_group_name_H-M 'I -4 2 d'
_symmetry_Int_Tables_number 122
_symmetry_space_group_name_Hall 'I -4 2bw'
_cell_length_a 4.708
_cell_length_b 4.708
_cell_length_c 11.928
_cell_angle_alpha 90.00
_cell_angle_beta 90.00
_cell_angle_gamma 90.00
loop_
_atom_site_label
_atom_site_type_symbol
_atom_site_fract_x
_atom_site_fract_y
_atom_site_fract_z
_atom_site_occupancy
Al1 Al 0.123 0.250 0.125 1
Ga1 Ga 0.000 0.000 0.500 1
H1 H 0.000 0.000 0.000 1


No. 6
# MgSbOs2, relaxed, DFT GGA-PBE
# Density in Mg/m³: 12.46
# E_form (uncorrected) in eV/atom: 0.5155
# Energy in eV/atom: -6.529
data_MgSbOs2
_chemical_formula_sum 'Mg1 Sb1 Os2'
_symmetry_space_group_name_H-M 'P 1 2/m 1'
_symmetry_Int_Tables_number 10
_symmetry_space_group_name_Hall '-P 2y'
_cell_length_a 2.997
_cell_length_b 4.452
_cell_length_c 5.266
_cell_angle_alpha 90.00
_cell_angle_beta 93.10
_cell_angle_gamma 90.00
loop_
_atom_site_label
_atom_site_type_symbol
_atom_site_fract_x
_atom_site_fract_y
_atom_site_fract_z
_atom_site_occupancy
Mg1 Mg 0.000 0.000 0.000 1
Sb1 Sb 0.500 0.000 0.500 1
Os1 Os 0.327 0.500 0.211 1


No. 7
# TeRuPtI2, relaxed, DFT GGA-PBE
# Density in Mg/m³: 7.09
# Excess energy over the best structure of this formula in the dataset in eV per atom: 0.080
# E_form (uncorrected) in eV/atom: 1.0547
# Energy in eV/atom: -3.257
data_TeRuPtI2
_chemical_formula_sum 'Te1 Ru1 Pt1 I2'
_symmetry_space_group_name_H-M 'P 4/m m m'
_symmetry_Int_Tables_number 123
_symmetry_space_group_name_Hall '-P 4 2'
_cell_length_a 5.435
_cell_length_b 5.435
_cell_length_c 5.375
_cell_angle_alpha 90.00
_cell_angle_beta 90.00
_cell_angle_gamma 90.00
loop_
_atom_site_label
_atom_site_type_symbol
_atom_site_fract_x
_atom_site_fract_y
_atom_site_fract_z
_atom_site_occupancy
Te1 Te 0.000 0.000 0.000 1
Ru1 Ru 0.500 0.500 0.000 1
Pt1 Pt 0.000 0.000 0.500 1
I1 I 0.000 0.500 0.500 1


No. 8
# Ac2TmPt3O12, relaxed, DFT GGA-PBE
# Density in Mg/m³: 9.63
# E_form (uncorrected) in eV/atom: -1.6075
# Energy in eV/atom: -6.625
data_Ac2TmPt3O12
_chemical_formula_sum 'Ac6 Tm3 Pt9 O36'
_symmetry_space_group_name_H-M 'R -3 m'
_symmetry_Int_Tables_number 166
_symmetry_space_group_name_Hall '-R 3 2"'
_cell_length_a 7.1361
_cell_length_b 7.1361
_cell_length_c 16.4214
_cell_angle_alpha 90.00
_cell_angle_beta 90.00
_cell_angle_gamma 120.00
loop_
_atom_site_label
_atom_site_type_symbol
_atom_site_fract_x
_atom_site_fract_y
_atom_site_fract_z
_atom_site_occupancy
Ac1 Ac 0.0000 0.0000 0.1166 1
Tm1 Tm 0.0000 0.0000 0.5000 1
Pt1 Pt 0.0000 0.5000 0.0000 1
O1 O 0.0482 0.5241 0.8803 1
O2 O 0.0592 0.5296 0.2972 1


No. 9
# Pu2MnRu3, relaxed, DFT GGA-PBE
# Density in Mg/m³: 13.57
# Energy in eV/atom: -11.041
data_Pu2MnRu3
_chemical_formula_sum 'Pu6 Mn3 Ru9'
_symmetry_space_group_name_H-M 'R -3 m'
_symmetry_Int_Tables_number 166
_symmetry_space_group_name_Hall '-R 3 2"'
_cell_length_a 5.5235
_cell_length_b 5.5235
_cell_length_c 11.7538
_cell_angle_alpha 90.00
_cell_angle_beta 90.00
_cell_angle_gamma 120.00
loop_
_atom_site_label
_atom_site_type_symbol
_atom_site_fract_x
_atom_site_fract_y
_atom_site_fract_z
_atom_site_occupancy
Pu1 Pu 0.0000 0.0000 0.1250 1
Mn1 Mn 0.0000 0.0000 0.5000 1
Ru1 Ru 0.0000 0.5000 0.0000 1


No. 10
# La2MgCuAu6, relaxed, DFT GGA-PBE
# Density in Mg/m³: 11.31
# Energy in eV/atom: -4.014
data_La2MgCuAu6
_chemical_formula_sum 'La2 Mg1 Cu1 Au6'
_symmetry_space_group_name_H-M 'P -1'
_symmetry_Int_Tables_number 2
_symmetry_space_group_name_Hall '-P 1'
_cell_length_a 5.518
_cell_length_b 6.027
_cell_length_c 7.526
_cell_angle_alpha 93.09
_cell_angle_beta 109.97
_cell_angle_gamma 102.73
loop_
_atom_site_label
_atom_site_type_symbol
_atom_site_fract_x
_atom_site_fract_y
_atom_site_fract_z
_atom_site_occupancy
La1 La 0.049 0.230 0.224 1
Mg1 Mg 0.500 0.500 0.000 1
Cu1 Cu 0.500 0.000 0.500 1
Au1 Au 0.000 0.273 0.747 1
Au2 Au 0.336 0.593 0.607 1
Au3 Au 0.459 0.921 0.158 1


No. 11
# HgMo2Os, relaxed, DFT GGA-PBE
# Density in Mg/m³: 14.90
# Energy in eV/atom: -7.812
data_HgMo2Os
_chemical_formula_sum 'Hg2 Mo4 Os2'
_symmetry_space_group_name_H-M 'C m m m'
_symmetry_Int_Tables_number 65
_symmetry_space_group_name_Hall '-C 2 2'
_cell_length_a 5.577
_cell_length_b 8.186
_cell_length_c 2.845
_cell_angle_alpha 90.00
_cell_angle_beta 90.00
_cell_angle_gamma 90.00
loop_
_atom_site_label
_atom_site_type_symbol
_atom_site_fract_x
_atom_site_fract_y
_atom_site_fract_z
_atom_site_occupancy
Hg1 Hg 0.000 0.000 0.000 1
Mo1 Mo 0.250 0.250 0.500 1
Os1 Os 0.000 0.500 0.000 1


No. 12
# Sr6Ge2HN, relaxed, DFT GGA-PBE
# Density in Mg/m³: 4.04
# Energy in eV/atom: -3.693
data_Sr6Ge2HN
_chemical_formula_sum 'Sr12 Ge4 H2 N2'
_symmetry_space_group_name_H-M 'P 1 21/c 1'
_symmetry_Int_Tables_number 14
_symmetry_space_group_name_Hall '-P 2ybc'
_cell_length_a 7.273
_cell_length_b 7.475
_cell_length_c 12.661
_cell_angle_alpha 90.00
_cell_angle_beta 124.97
_cell_angle_gamma 90.00
loop_
_atom_site_label
_atom_site_type_symbol
_atom_site_fract_x
_atom_site_fract_y
_atom_site_fract_z
_atom_site_occupancy
Sr1 Sr 0.160 0.019 0.240 1
Sr2 Sr 0.235 0.717 0.041 1
Sr3 Sr 0.326 0.196 0.042 1
Ge1 Ge 0.263 0.049 0.749 1
H1 H 0.500 0.000 0.500 1
N1 N 0.000 0.000 0.000 1


No. 13
# Tm2PuN3, relaxed, DFT GGA-PBE
# Density in Mg/m³: 12.13
# E_form (uncorrected) in eV/atom: -1.6144
# Energy in eV/atom: -9.656
data_Tm2PuN3
_chemical_formula_sum 'Tm4 Pu2 N6'
_symmetry_space_group_name_H-M 'I 4/m m m'
_symmetry_Int_Tables_number 139
_symmetry_space_group_name_Hall '-I 4 2'
_cell_length_a 3.430
_cell_length_b 3.430
_cell_length_c 14.522
_cell_angle_alpha 90.00
_cell_angle_beta 90.00
_cell_angle_gamma 90.00
loop_
_atom_site_label
_atom_site_type_symbol
_atom_site_fract_x
_atom_site_fract_y
_atom_site_fract_z
_atom_site_occupancy
Tm1 Tm 0.000 0.000 0.169 1
Pu1 Pu 0.000 0.000 0.500 1
N1 N 0.000 0.000 0.000 1
N2 N 0.000 0.000 0.333 1


No. 14
# Ac3La, relaxed, DFT GGA-PBE
# Density in Mg/m³: 7.89
# Excess energy over the best structure of this formula in the dataset in eV per atom: 0.010
# Energy in eV/atom: -4.290
data_Ac3La
_chemical_formula_sum 'Ac6 La2'
_symmetry_space_group_name_H-M 'I 4/m m m'
_symmetry_Int_Tables_number 139
_symmetry_space_group_name_Hall '-I 4 2'
_cell_length_a 5.557
_cell_length_b 5.557
_cell_length_c 11.173
_cell_angle_alpha 90.00
_cell_angle_beta 90.00
_cell_angle_gamma 90.00
loop_
_atom_site_label
_atom_site_type_symbol
_atom_site_fract_x
_atom_site_fract_y
_atom_site_fract_z
_atom_site_occupancy
Ac1 Ac 0.000 0.000 0.000 1
Ac2 Ac 0.000 0.500 0.250 1
La1 La 0.000 0.000 0.500 1


No. 15
# Li2Ca3Ag5, relaxed, DFT GGA-PBE
# Density in Mg/m³: 5.07
# Energy in eV/atom: -2.660
data_Li2Ca3Ag5
_chemical_formula_sum 'Li4 Ca6 Ag10'
_symmetry_space_group_name_H-M 'P 4/m b m'
_symmetry_Int_Tables_number 127
_symmetry_space_group_name_Hall '-P 4 2ab'
_cell_length_a 10.586
_cell_length_b 10.586
_cell_length_c 3.938
_cell_angle_alpha 90.00
_cell_angle_beta 90.00
_cell_angle_gamma 90.00
loop_
_atom_site_label
_atom_site_type_symbol
_atom_site_fract_x
_atom_site_fract_y
_atom_site_fract_z
_atom_site_occupancy
Li1 Li 0.117 0.383 0.000 1
Ca1 Ca 0.000 0.000 0.000 1
Ca2 Ca 0.179 0.679 0.000 1
Ag1 Ag 0.000 0.500 0.500 1
Ag2 Ag 0.065 0.221 0.500 1


No. 16
# PrEr4Se5, relaxed, DFT GGA-PBE
# Density in Mg/m³: 8.30
# E_form (uncorrected) in eV/atom: -1.7105
# Energy in eV/atom: -5.756
data_PrEr4Se5
_chemical_formula_sum 'Pr2 Er8 Se10'
_symmetry_space_group_name_H-M 'I m m m'
_symmetry_Int_Tables_number 71
_symmetry_space_group_name_Hall '-I 2 2'
_cell_length_a 4.063
_cell_length_b 5.776
_cell_length_c 20.549
_cell_angle_alpha 90.00
_cell_angle_beta 90.00
_cell_angle_gamma 90.00
loop_
_atom_site_label
_atom_site_type_symbol
_atom_site_fract_x
_atom_site_fract_y
_atom_site_fract_z
_atom_site_occupancy
Pr1 Pr 0.000 0.000 0.000 1
Er1 Er 0.000 0.000 0.204 1
Er2 Er 0.000 0.000 0.402 1
Se1 Se 0.000 0.500 0.000 1
Se2 Se 0.000 0.500 0.198 1
Se3 Se 0.000 0.500 0.392 1


No. 17
# BaNdZn2Pt2, relaxed, DFT GGA-PBE
# Density in Mg/m³: 9.16
# Energy in eV/atom: -4.322
data_BaNdZn2Pt2
_chemical_formula_sum 'Ba1 Nd1 Zn2 Pt2'
_symmetry_space_group_name_H-M 'P -3 m 1'
_symmetry_Int_Tables_number 164
_symmetry_space_group_name_Hall '-P 3 2"'
_cell_length_a 4.4981
_cell_length_b 4.4981
_cell_length_c 8.3045
_cell_angle_alpha 90.00
_cell_angle_beta 90.00
_cell_angle_gamma 120.00
loop_
_atom_site_label
_atom_site_type_symbol
_atom_site_fract_x
_atom_site_fract_y
_atom_site_fract_z
_atom_site_occupancy
Ba1 Ba 0.0000 0.0000 0.0000 1
Nd1 Nd 0.0000 0.0000 0.5000 1
Zn1 Zn 0.3333 0.6667 0.7167 1
Pt1 Pt 0.3333 0.6667 0.2927 1


No. 18
# Pm2Ho3Hg3, relaxed, DFT GGA-PBE
# Density in Mg/m³: 10.37
# Energy in eV/atom: -3.366
data_Pm2Ho3Hg3
_chemical_formula_sum 'Pm4 Ho6 Hg6'
_symmetry_space_group_name_H-M 'I m m m'
_symmetry_Int_Tables_number 71
_symmetry_space_group_name_Hall '-I 2 2'
_cell_length_a 3.758
_cell_length_b 5.289
_cell_length_c 22.332
_cell_angle_alpha 90.00
_cell_angle_beta 90.00
_cell_angle_gamma 90.00
loop_
_atom_site_label
_atom_site_type_symbol
_atom_site_fract_x
_atom_site_fract_y
_atom_site_fract_z
_atom_site_occupancy
Pm1 Pm 0.000 0.000 0.231 1
Ho1 Ho 0.000 0.000 0.000 1
Ho2 Ho 0.000 0.500 0.119 1
Hg1 Hg 0.000 0.000 0.500 1
Hg2 Hg 0.000 0.500 0.386 1


No. 19
# BaBiAs2Se, relaxed, DFT GGA-PBE
# Density in Mg/m³: 4.94
# Excess energy over the best structure of this formula in the dataset in eV per atom: 1.015
# E_form (uncorrected) in eV/atom: 0.8755
# Energy in eV/atom: -2.842
data_BaBiAs2Se
_chemical_formula_sum 'Ba1 Bi1 As2 Se1'
_symmetry_space_group_name_H-M 'P 4/m m m'
_symmetry_Int_Tables_number 123
_symmetry_space_group_name_Hall '-P 4 2'
_cell_length_a 5.766
_cell_length_b 5.766
_cell_length_c 5.817
_cell_angle_alpha 90.00
_cell_angle_beta 90.00
_cell_angle_gamma 90.00
loop_
_atom_site_label
_atom_site_type_symbol
_atom_site_fract_x
_atom_site_fract_y
_atom_site_fract_z
_atom_site_occupancy
Ba1 Ba 0.000 0.000 0.000 1
Bi1 Bi 0.500 0.500 0.500 1
As1 As 0.000 0.500 0.000 1
Se1 Se 0.000 0.000 0.500 1


No. 20
# Sr2In3Sn, relaxed, DFT GGA-PBE
# Density in Mg/m³: 5.41
# Excess energy over the best structure of this formula in the dataset in eV per atom: 0.051
# Energy in eV/atom: -3.004
data_Sr2In3Sn
_chemical_formula_sum 'Sr2 In3 Sn1'
_symmetry_space_group_name_H-M 'P m m 2'
_symmetry_Int_Tables_number 25
_symmetry_space_group_name_Hall 'P 2 -2'
_cell_length_a 4.714
_cell_length_b 4.955
_cell_length_c 8.388
_cell_angle_alpha 90.00
_cell_angle_beta 90.00
_cell_angle_gamma 90.00
loop_
_atom_site_label
_atom_site_type_symbol
_atom_site_fract_x
_atom_site_fract_y
_atom_site_fract_z
_atom_site_occupancy
Sr1 Sr 0.000 0.000 0.000 1
Sr2 Sr 0.000 0.500 0.487 1
In1 In 0.500 0.000 0.665 1
In2 In 0.500 0.500 0.158 1
In3 In 0.500 0.500 0.822 1
Sn1 Sn 0.500 0.000 0.327 1